Record 1
## Na2Sr6Tl (PBE)

Data for a relaxed structure of Na2Sr6Tl.

Cell and atoms, written as CIF:
```
data_Na2Sr6Tl
_chemical_formula_sum 'Na4 Sr12 Tl2'
_symmetry_space_group_name_H-M 'P 1'
_symmetry_Int_Tables_number 1
_cell_length_a 10.2020
_cell_length_b 10.2020
_cell_length_c 10.2020
_cell_angle_alpha 111.70
_cell_angle_beta 109.83
_cell_angle_gamma 106.91
loop_
_symmetry_equiv_pos_as_xyz
'x,y,z'
loop_
_atom_site_label
_atom_site_type_symbol
_atom_site_fract_x
_atom_site_fract_y
_atom_site_fract_z
Na1 Na 0.0000 0.3613 0.3613
Na2 Na 0.0000 0.6387 0.6387
Na3 Na 0.1348 0.0000 0.1348
Na4 Na 0.8652 0.0000 0.8652
Sr1 Sr 0.0730 0.7502 0.3229
Sr2 Sr 0.2415 0.0670 0.8256
Sr3 Sr 0.2415 0.4159 0.1744
Sr4 Sr 0.3116 0.2604 0.5721
Sr5 Sr 0.3116 0.7396 0.0512
Sr6 Sr 0.4273 0.7502 0.6771
Sr7 Sr 0.5727 0.2498 0.3229
Sr8 Sr 0.6884 0.2604 0.9488
Sr9 Sr 0.6884 0.7396 0.4279
Sr10 Sr 0.7585 0.5841 0.8256
Sr11 Sr 0.7585 0.9330 0.1744
Sr12 Sr 0.9270 0.2498 0.6771
Tl1 Tl 0.5000 0.0000 0.5000
Tl2 Tl 0.5000 0.5000 0.0000
```

Output
* formation energy: -5 kJ/mol of atoms
* calculated total energy: -31.14 eV for the cell shown

***

Record 2
## Na3Sr6Tl (PBE)

Data for a relaxed structure of Na3Sr6Tl.

Cell and atoms, written as CIF:
```
data_Na3Sr6Tl
_chemical_formula_sum 'Na6 Sr12 Tl2'
_symmetry_space_group_name_H-M 'P 1'
_symmetry_Int_Tables_number 1
_cell_length_a 10.9400
_cell_length_b 13.5004
_cell_length_c 6.1979
_cell_angle_alpha 90.00
_cell_angle_beta 90.00
_cell_angle_gamma 90.00
loop_
_symmetry_equiv_pos_as_xyz
'x,y,z'
loop_
_atom_site_label
_atom_site_type_symbol
_atom_site_fract_x
_atom_site_fract_y
_atom_site_fract_z
Na1 Na 0.0000 0.0000 0.0000
Na2 Na 0.1632 0.2302 0.5000
Na3 Na 0.3368 0.7302 0.0000
Na4 Na 0.5000 0.5000 0.5000
Na5 Na 0.6632 0.2698 0.0000
Na6 Na 0.8368 0.7698 0.5000
Sr1 Sr 0.0056 0.7416 0.0000
Sr2 Sr 0.1505 0.5795 0.5000
Sr3 Sr 0.1890 0.9202 0.5000
Sr4 Sr 0.3110 0.4202 0.0000
Sr5 Sr 0.3495 0.0795 0.0000
Sr6 Sr 0.4944 0.2416 0.5000
Sr7 Sr 0.5056 0.7584 0.5000
Sr8 Sr 0.6505 0.9205 0.0000
Sr9 Sr 0.6890 0.5798 0.0000
Sr10 Sr 0.8110 0.0798 0.5000
Sr11 Sr 0.8495 0.4205 0.5000
Sr12 Sr 0.9944 0.2584 0.0000
Tl1 Tl 0.0000 0.5000 0.0000
Tl2 Tl 0.5000 0.0000 0.5000
```

Output
* formation energy: -3 kJ/mol of atoms
* calculated total energy: -33.39 eV for the cell shown

***

Record 3
## Na2SrTl5 (PBE)

Data for a relaxed structure of Na2SrTl5.

Cell and atoms, written as CIF:
```
data_Na2SrTl5
_chemical_formula_sum 'Na4 Sr2 Tl10'
_symmetry_space_group_name_H-M 'P 1'
_symmetry_Int_Tables_number 1
_cell_length_a 4.2498
_cell_length_b 8.1386
_cell_length_c 14.8662
_cell_angle_alpha 90.00
_cell_angle_beta 90.00
_cell_angle_gamma 90.00
loop_
_symmetry_equiv_pos_as_xyz
'x,y,z'
loop_
_atom_site_label
_atom_site_type_symbol
_atom_site_fract_x
_atom_site_fract_y
_atom_site_fract_z
Na1 Na 0.0000 0.0000 0.2397
Na2 Na 0.0000 0.0000 0.7603
Na3 Na 0.5000 0.5000 0.2603
Na4 Na 0.5000 0.5000 0.7397
Sr1 Sr 0.0000 0.5000 0.0000
Sr2 Sr 0.5000 0.0000 0.5000
Tl1 Tl 0.0000 0.0000 0.0000
Tl2 Tl 0.0000 0.2854 0.3836
Tl3 Tl 0.0000 0.2854 0.6164
Tl4 Tl 0.0000 0.7146 0.3836
Tl5 Tl 0.0000 0.7146 0.6164
Tl6 Tl 0.5000 0.2146 0.1164
Tl7 Tl 0.5000 0.2146 0.8836
Tl8 Tl 0.5000 0.5000 0.5000
Tl9 Tl 0.5000 0.7854 0.1164
Tl10 Tl 0.5000 0.7854 0.8836
```

Output
* formation energy: -12 kJ/mol of atoms
* calculated total energy: -34.23 eV for the cell shown